(1)
The following is a PBE calculation of a geometry-optimized LaBeFe4 structure, from Alexandria.

Geometry as POSCAR:
```
LaBeFe4
1.0
-1.534 1.302 4.583
-3.698 -2.541 2.217
0.994 -2.964 3.908
Fe Be La
4 1 1
Direct
0.373 0.880 0.373
0.373 0.373 0.880
0.373 0.373 0.373
0.880 0.373 0.373
0.000 0.000 0.000
0.750 0.750 0.750
```

- Calculated volume: 14.77 Å³/atom
- Energy of formation from the pure elements: 0.255 eV/atom

***

(2)
The following is a PBE calculation of a geometry-optimized LaBe2Fe structure, from Alexandria.

Geometry as POSCAR:
```
LaBe2Fe
1.0
-4.989 -1.734 -2.654
3.865 -1.629 -1.649
-1.206 -3.040 0.191
Be La Fe
2 1 1
Direct
0.500 0.000 0.500
0.000 0.000 0.000
0.500 0.500 0.000
0.000 0.500 0.500
```

- E above lowest polymorph: 617 meV per atom
- Calculated volume: 15.20 Å³/atom
- Energy of formation from the pure elements: 0.632 eV/atom

***

(3)
The following is a PBE calculation of a geometry-optimized La3BeFe structure, from Alexandria.

Geometry as POSCAR:
```
La3BeFe
1.0
5.211 0.000 0.000
0.000 5.211 0.000
0.000 0.000 5.211
Fe Be La
1 1 3
Direct
0.000 0.000 0.000
0.500 0.500 0.500
0.000 0.500 0.000
0.000 0.000 0.500
0.500 0.000 0.000
```

- Calculated volume: 28.31 Å³/atom
- Energy of formation from the pure elements: 0.298 eV/atom

***

(4)
The following is a PBE calculation of a geometry-optimized LaBe2Fe structure, from Alexandria.

Geometry as POSCAR:
```
LaBe2Fe
1.0
2.993 0.000 0.000
0.000 2.991 0.000
0.000 0.000 6.602
Be La Fe
2 1 1
Direct
0.000 0.000 0.096
0.500 0.500 0.270
0.500 0.500 0.724
0.000 0.000 0.410
```

- E above lowest polymorph: 349 meV per atom
- Calculated volume: 14.78 Å³/atom
- Energy of formation from the pure elements: 0.364 eV/atom